Entry 1:
# HfTe2Cl, relaxed, DFT PBE-GGA
# Offset from the most stable computed form ... 0.879 eV/atom
# Uncorrected formation energy ... 0.27 eV/atom
data_HfTe2Cl
_cell_length_a 3.3142
_cell_length_b 3.3142
_cell_length_c 32.7336
_cell_angle_alpha 90.00
_cell_angle_beta 90.00
_cell_angle_gamma 120.00
_space_group_name_H-M_alt 'R -3 m'
_space_group_IT_number 166
_space_group_name_Hall '-R 3 2"'
loop_
_atom_site_label
_atom_site_fract_x
_atom_site_fract_y
_atom_site_fract_z
_atom_site_occupancy
Hf1 0.0000 0.0000 0.0000 1
Te1 0.0000 0.0000 0.0885 1
Cl1 0.0000 0.0000 0.5000 1

Entry 2:
# FeHgAs2, relaxed, DFT PBE-GGA
# E_tot ... -4.46 eV/atom
data_FeHgAs2
_cell_length_a 6.087
_cell_length_b 3.068
_cell_length_c 8.420
_cell_angle_alpha 90.00
_cell_angle_beta 92.52
_cell_angle_gamma 90.00
_space_group_name_H-M_alt 'C 1 2/m 1'
_space_group_IT_number 12
loop_
_space_group_symop_operation_xyz
'x,y,z'
'-x,-y,-z'
'-x,y,-z'
'x,-y,z'
'x+1/2,y+1/2,z'
'-x+1/2,-y+1/2,-z'
'-x+1/2,y+1/2,-z'
'x+1/2,-y+1/2,z'
loop_
_atom_site_label
_atom_site_fract_x
_atom_site_fract_y
_atom_site_fract_z
_atom_site_occupancy
Fe1 0.000 0.000 0.000 1
Hg1 0.000 0.500 0.500 1
As1 0.169 0.500 0.822 1

Entry 3:
# Tb2ThB6, relaxed, DFT PBE-GGA
# E_tot ... -6.80 eV/atom
data_Tb2ThB6
_cell_length_a 5.7302
_cell_length_b 5.7302
_cell_length_c 4.0097
_cell_angle_alpha 90.00
_cell_angle_beta 90.00
_cell_angle_gamma 120.00
_space_group_name_H-M_alt 'P 6/m m m'
_space_group_IT_number 191
_space_group_name_Hall '-P 6 2'
loop_
_atom_site_label
_atom_site_fract_x
_atom_site_fract_y
_atom_site_fract_z
_atom_site_occupancy
Tb1 0.3333 0.6667 0.0000 1
Th1 0.0000 0.0000 0.0000 1
B1 0.0000 0.3386 0.5000 1

Entry 4:
# Li2NbBiOs, relaxed, DFT PBE-GGA
# E_tot ... -4.64 eV/atom
data_Li2NbBiOs
_cell_length_a 4.981
_cell_length_b 4.981
_cell_length_c 4.665
_cell_angle_alpha 90.00
_cell_angle_beta 90.00
_cell_angle_gamma 90.00
_space_group_name_H-M_alt 'P 4/m m m'
_space_group_IT_number 123
_space_group_name_Hall '-P 4 2'
loop_
_atom_site_label
_atom_site_fract_x
_atom_site_fract_y
_atom_site_fract_z
_atom_site_occupancy
Li1 0.000 0.500 0.000 1
Nb1 0.000 0.000 0.000 1
Bi1 0.500 0.500 0.500 1
Os1 0.000 0.000 0.500 1